NbAl4Pd5: optimized geometry, PBE-GGA.

Total moment in μB/atom: 0.00
ΔE_f in eV/atom: -0.742
Uncorrected energy in eV per atom: -5.84
N(E_F) in states/eV/f.u.: 7.94

```
data_NbAl4Pd5
_space_group_name_H-M_alt 'P 4/m m m'
_space_group_IT_number 123
_space_group_name_Hall '-P 4 2'
_cell_length_a 3.001
_cell_length_b 3.001
_cell_length_c 16.592
_cell_angle_alpha 90.00
_cell_angle_beta 90.00
_cell_angle_gamma 90.00
loop_
_atom_site_label
_atom_site_type_symbol
_atom_site_fract_x
_atom_site_fract_y
_atom_site_fract_z
Nb1 Nb 0.000 0.000 0.000
Al1 Al 0.000 0.000 0.211
Al2 Al 0.000 0.000 0.404
Pd1 Pd 0.500 0.500 0.119
Pd2 Pd 0.500 0.500 0.307
Pd3 Pd 0.500 0.500 0.500
```